# HfSc3Tc GGA-PBEsol relaxed
data_HfSc3Tc
_symmetry_space_group_name_H-M 'P m -3 m'
_symmetry_Int_Tables_number 221
_symmetry_space_group_name_Hall '-P 4 2 3'
_cell_length_a 4.944
_cell_length_b 4.944
_cell_length_c 4.944
_cell_angle_alpha 90.00
_cell_angle_beta 90.00
_cell_angle_gamma 90.00
loop_
_atom_site_label
_atom_site_fract_x
_atom_site_fract_y
_atom_site_fract_z
Hf1 0.000 0.000 0.000
Sc1 0.000 0.000 0.500
Tc1 0.500 0.500 0.500
# energy of formation from the pure elements: 1.469 eV/atom

---

# AlTcNi2 GGA-PBEsol relaxed
data_AlTcNi2
_symmetry_space_group_name_H-M 'P 4 m m'
_symmetry_Int_Tables_number 99
_cell_length_a 2.854
_cell_length_b 2.854
_cell_length_c 5.877
_cell_angle_alpha 90.00
_cell_angle_beta 90.00
_cell_angle_gamma 90.00
loop_
_symmetry_equiv_pos_as_xyz
'x,y,z'
'-y,x,z'
'-x,-y,z'
'y,-x,z'
'-x,y,z'
'y,x,z'
'x,-y,z'
'-y,-x,z'
loop_
_atom_site_label
_atom_site_fract_x
_atom_site_fract_y
_atom_site_fract_z
Al1 0.000 0.000 0.000
Tc1 0.500 0.500 0.704
Ni1 0.000 0.000 0.464
Ni2 0.500 0.500 0.224
# energy of formation from the pure elements: -0.222 eV/atom

---

# TePdI GGA-PBEsol relaxed
data_TePdI
_symmetry_space_group_name_H-M 'P 42/m m c'
_symmetry_Int_Tables_number 131
_symmetry_space_group_name_Hall '-P 4c 2'
_cell_length_a 7.861
_cell_length_b 7.861
_cell_length_c 5.576
_cell_angle_alpha 90.00
_cell_angle_beta 90.00
_cell_angle_gamma 90.00
loop_
_atom_site_label
_atom_site_fract_x
_atom_site_fract_y
_atom_site_fract_z
Te1 0.000 0.215 0.000
Pd1 0.000 0.252 0.500
I1 0.240 0.500 0.500
# uncorrected formation energy: -0.32 eV per atom

---

# Cu2PO4 GGA-PBEsol relaxed
data_Cu2PO4
_symmetry_space_group_name_H-M 'P -1'
_symmetry_Int_Tables_number 2
_cell_length_a 5.977
_cell_length_b 6.210
_cell_length_c 9.154
_cell_angle_alpha 74.16
_cell_angle_beta 83.82
_cell_angle_gamma 79.57
loop_
_symmetry_equiv_pos_as_xyz
'x,y,z'
'-x,-y,-z'
loop_
_atom_site_label
_atom_site_fract_x
_atom_site_fract_y
_atom_site_fract_z
Cu1 0.022 0.115 0.230
Cu2 0.195 0.328 0.468
Cu3 0.437 0.193 0.835
Cu4 0.450 0.611 0.865
P1 0.122 0.699 0.118
P2 0.292 0.805 0.497
O1 0.125 0.255 0.828
O2 0.134 0.646 0.474
O3 0.152 0.708 0.944
O4 0.195 0.051 0.407
O5 0.244 0.461 0.203
O6 0.247 0.888 0.143
O7 0.288 0.799 0.667
O8 0.469 0.260 0.573
# uncorrected formation energy: -1.33 eV per atom

---

# Na2NiPO4F GGA-PBEsol relaxed
data_Na2NiPO4F
_symmetry_space_group_name_H-M 'P 1 21/c 1'
_symmetry_Int_Tables_number 14
_cell_length_a 13.398
_cell_length_b 5.169
_cell_length_c 13.703
_cell_angle_alpha 90.00
_cell_angle_beta 120.67
_cell_angle_gamma 90.00
loop_
_symmetry_equiv_pos_as_xyz
'x,y,z'
'-x,-y,-z'
'-x,y+1/2,-z+1/2'
'x,-y+1/2,z+1/2'
loop_
_atom_site_label
_atom_site_fract_x
_atom_site_fract_y
_atom_site_fract_z
Na1 0.081 0.227 0.411
Na2 0.170 0.737 0.080
Na3 0.330 0.237 0.661
Na4 0.419 0.739 0.580
Ni1 0.177 0.712 0.352
Ni2 0.322 0.221 0.924
P1 0.088 0.200 0.178
P2 0.411 0.706 0.839
O1 0.043 0.735 0.878
O2 0.108 0.597 0.702
O3 0.131 0.214 0.598
O4 0.155 0.156 0.794
O5 0.344 0.647 0.387
O6 0.368 0.712 0.216
O7 0.392 0.090 0.345
O8 0.458 0.229 0.087
F1 0.247 0.005 0.000
F2 0.253 0.506 0.971
# uncorrected formation energy: -2.00 eV per atom

---

# MgIn2 GGA-PBEsol relaxed
data_MgIn2
_symmetry_space_group_name_H-M 'I m m a'
_symmetry_Int_Tables_number 74
_symmetry_space_group_name_Hall '-I 2b 2'
_cell_length_a 3.133
_cell_length_b 4.192
_cell_length_c 22.992
_cell_angle_alpha 90.00
_cell_angle_beta 90.00
_cell_angle_gamma 90.00
loop_
_atom_site_label
_atom_site_fract_x
_atom_site_fract_y
_atom_site_fract_z
Mg1 0.000 0.250 0.120
In1 0.000 0.250 0.547
In2 0.000 0.250 0.693
# energy of formation from the pure elements: -0.005 eV/atom

---

# Cu2PtSe GGA-PBEsol relaxed
data_Cu2PtSe
_symmetry_space_group_name_H-M 'C m m m'
_symmetry_Int_Tables_number 65
_symmetry_space_group_name_Hall '-C 2 2'
_cell_length_a 3.969
_cell_length_b 3.977
_cell_length_c 7.253
_cell_angle_alpha 90.00
_cell_angle_beta 90.00
_cell_angle_gamma 90.00
loop_
_atom_site_label
_atom_site_fract_x
_atom_site_fract_y
_atom_site_fract_z
Cu1 0.000 0.000 0.238
Pt1 0.000 0.500 0.000
Se1 0.000 0.500 0.500
# uncorrected formation energy: 0.12 eV per atom

---

# AgPPd5 GGA-PBEsol relaxed
data_AgPPd5
_symmetry_space_group_name_H-M 'P 4/m m m'
_symmetry_Int_Tables_number 123
_symmetry_space_group_name_Hall '-P 4 2'
_cell_length_a 3.900
_cell_length_b 3.900
_cell_length_c 6.827
_cell_angle_alpha 90.00
_cell_angle_beta 90.00
_cell_angle_gamma 90.00
loop_
_atom_site_label
_atom_site_fract_x
_atom_site_fract_y
_atom_site_fract_z
Ag1 0.000 0.000 0.000
P1 0.500 0.500 0.500
Pd1 0.000 0.500 0.298
Pd2 0.500 0.500 0.000
# energy of formation from the pure elements: -0.325 eV/atom

---

Number 1: mass density 5.65 g cm⁻³. Number 2: mass density 8.41 g cm⁻³. Number 3: mass density 6.96 g cm⁻³. Number 4: mass density 4.60 g cm⁻³. Number 5: mass density 3.56 g cm⁻³. Number 6: mass density 5.59 g cm⁻³. Number 7: mass density 11.63 g cm⁻³. Number 8: mass density 10.73 g cm⁻³.